A relaxed NpGaPd4 crystal. Source: the Alexandria database, functional PBE-GGA.

Cell: 7.548 7.548 7.548 Å, 90.00 90.00 90.00°
Space group F-43m (No. 216)
Inequivalent atoms, fractional coordinates:
1 Np 0.000 0.000 0.000 (multiplicity 4)
2 Ga 0.250 0.250 0.750 (multiplicity 4)
3 Pd 0.125 0.125 0.375 (multiplicity 16)

Computed properties:
- calculated formation energy (kcal/mol of atoms) = -7.4
- calculated total energy (eV per atom) = -6.446